! GGA-PBE SrIn2ReF, optimized geometry; values from VASP
! N(E_F): 0.674 states/eV/f.u.
! crystal system: tetragonal
! formation energy without anion corrections: -0.176 eV per atom
! space-group type: No. 123
! energy above the most stable polymorph in this dataset: 0.000 eV per formula unit
&SYSTEM
  ibrav = 0, nat = 5, ntyp = 4
/
ATOMIC_SPECIES
In 114.82 In.upf
Sr 87.62 Sr.upf
Re 186.21 Re.upf
F 19.00 F.upf
CELL_PARAMETERS angstrom
5.425 0.000 0.000
0.000 4.155 0.000
0.000 0.000 5.425
ATOMIC_POSITIONS angstrom
In 2.712 0.000 0.000
Sr 2.712 2.077 2.712
Re 0.000 0.000 0.000
F 0.000 2.077 0.000
In 0.000 0.000 2.712